# 1
Compound: SbMoP2
Source: Alexandria via LeMat-Bulk
Functional: GGA-PBE
Structure: relaxed

The structure in extended XYZ format:
```
4
Lattice="1.7031 -2.4675 0.0000 1.7031 2.4675 0.0000 0.0000 0.0000 8.9435" Properties=species:S:1:pos:R:3 pbc="T T T"
Sb 0.0000 0.0000 0.0000
Mo 0.0000 0.0000 4.4718
P 1.7031 0.0000 2.7197
P 1.7031 0.0000 6.2239
```

E_form (uncorrected): 0.32 eV per atom


# 2
Compound: KSbC2
Source: Alexandria via LeMat-Bulk
Functional: GGA-PBE
Structure: relaxed

The structure in extended XYZ format:
```
8
Lattice="-3.2047 3.2047 4.2157 3.2047 -3.2047 4.2157 3.2047 3.2047 -4.2157" Properties=species:S:1:pos:R:3 pbc="T T T"
K 0.0000 0.0000 0.0000
K 0.0000 3.2047 2.1078
Sb 3.2047 0.0000 2.1078
Sb 0.0000 0.0000 4.2157
C 1.6023 -1.0002 3.1617
C 2.2045 1.6023 1.0539
C 1.6023 4.2048 -1.0539
C 1.0002 1.6023 5.2696
```

E_form (uncorrected): 1.58 eV per atom